1.
{
  "formula": "MgB2SeI",
  "functional": "PBE-GGA",
  "state": "optimized geometry",
  "space_group": "No. 123",
  "crystal_system": "tetragonal",
  "e_form_raw_ev_per_atom": 1.7614,
  "lattice_angstrom": [[-2.570, -0.096, -3.709], [4.039, -3.032, -2.721], [-1.915, -3.831, 1.426]],
  "species": ["I", "Mg", "B", "B", "Se"],
  "frac_coords": [[0.000, 0.000, 0.000], [0.000, 0.500, 0.000], [0.000, 0.000, 0.500], [0.500, 0.000, 0.000], [0.500, 0.500, 0.500]]
}

***

2.
{
  "formula": "AcBP2O8",
  "functional": "PBE-GGA",
  "state": "optimized geometry",
  "space_group": "No. 12",
  "crystal_system": "monoclinic",
  "e_form_raw_ev_per_atom": -2.3014,
  "lattice_angstrom": [[4.691, 0.000, 0.000], [2.346, 5.929, -0.654], [2.346, 1.453, 5.648]],
  "species": ["Ac", "B", "P", "P", "O", "O", "O", "O", "O", "O", "O", "O"],
  "frac_coords": [[0.500, 0.500, 0.500], [0.000, 0.000, 0.000], [0.318, 0.220, 0.143], [0.682, 0.780, 0.857], [0.852, 0.647, 0.649], [0.637, 0.633, 0.092], [0.148, 0.353, 0.351], [0.363, 0.367, 0.908], [0.652, 0.065, 0.174], [0.348, 0.935, 0.826], [0.108, 0.065, 0.174], [0.892, 0.935, 0.826]]
}

***

3.
{
  "formula": "Cs2NdTiS4",
  "functional": "PBE-GGA",
  "state": "optimized geometry",
  "space_group": "No. 70",
  "crystal_system": "orthorhombic",
  "e_form_raw_ev_per_atom": -1.3533,
  "lattice_angstrom": [[-4.499, -1.702, 4.424], [2.687, -5.200, 5.559], [1.426, 9.161, 9.801]],
  "species": ["Cs", "Cs", "Cs", "Cs", "Nd", "Nd", "Ti", "Ti", "S", "S", "S", "S", "S", "S", "S", "S"],
  "frac_coords": [[0.180, 0.000, 0.641], [0.820, 0.000, 0.359], [0.570, 0.500, 0.859], [0.930, 0.500, 0.141], [0.750, 0.500, 0.500], [0.000, 0.000, 0.000], [0.250, 0.500, 0.500], [0.500, 0.000, 0.000], [0.337, 0.809, 0.099], [0.245, 0.191, 0.901], [0.853, 0.809, 0.901], [0.564, 0.191, 0.099], [0.413, 0.691, 0.401], [0.505, 0.309, 0.599], [0.897, 0.691, 0.599], [0.186, 0.309, 0.401]]
}

***

4.
{
  "formula": "ScGa4Ge",
  "functional": "PBE-GGA",
  "state": "optimized geometry",
  "space_group": "No. 216",
  "crystal_system": "cubic",
  "delta_e_f_kj_per_mol_fu": -75.0,
  "lattice_angstrom": [[5.379, 0.000, 0.000], [2.689, 4.658, 0.000], [2.689, 1.553, 4.392]],
  "species": ["Sc", "Ge", "Ga", "Ga", "Ga", "Ga"],
  "frac_coords": [[0.250, 0.250, 0.250], [0.000, 0.000, 0.000], [0.625, 0.625, 0.125], [0.625, 0.125, 0.625], [0.625, 0.625, 0.625], [0.125, 0.625, 0.625]]
}

***

5.
{
  "formula": "Hf2Co3Re",
  "functional": "PBE-GGA",
  "state": "optimized geometry",
  "space_group": "No. 166",
  "crystal_system": "trigonal",
  "delta_e_f_kj_per_mol_fu": -201.4,
  "lattice_angstrom": [[4.413, -0.133, -2.324], [-2.805, 4.121, -0.208], [-0.215, 0.107, 4.948]],
  "species": ["Hf", "Hf", "Co", "Co", "Co", "Re"],
  "frac_coords": [[0.747, 0.374, 0.121], [0.253, 0.626, 0.879], [0.500, 0.500, 0.500], [0.000, 0.000, 0.500], [0.500, 0.000, 0.500], [0.000, 0.000, 0.000]]
}

***

6.
{
  "formula": "Ba3Br2O2",
  "functional": "PBE-GGA",
  "state": "optimized geometry",
  "space_group": "No. 14",
  "crystal_system": "monoclinic",
  "e_form_raw_ev_per_atom": -2.3872,
  "lattice_angstrom": [[-4.059, -1.997, 6.868], [6.445, 0.651, 3.998], [1.391, 7.196, 2.914]],
  "species": ["Ba", "Ba", "Ba", "Ba", "Ba", "Ba", "Br", "Br", "Br", "Br", "O", "O", "O", "O"],
  "frac_coords": [[0.500, 0.000, 0.500], [0.000, 0.000, 0.000], [0.875, 0.592, 0.777], [0.375, 0.408, 0.723], [0.625, 0.592, 0.277], [0.125, 0.408, 0.223], [0.350, 0.816, 0.929], [0.150, 0.816, 0.429], [0.850, 0.184, 0.571], [0.650, 0.184, 0.071], [0.609, 0.659, 0.568], [0.109, 0.341, 0.932], [0.891, 0.659, 0.068], [0.391, 0.341, 0.432]]
}

***

7.
{
  "formula": "SrCu3Mo",
  "functional": "PBE-GGA",
  "state": "optimized geometry",
  "space_group": "No. 221",
  "crystal_system": "cubic",
  "delta_e_f_kj_per_mol_fu": 941.5,
  "lattice_angstrom": [[5.015, 0.000, 0.000], [0.000, 5.015, 0.000], [0.000, 0.000, 5.015]],
  "species": ["Sr", "Mo", "Cu", "Cu", "Cu"],
  "frac_coords": [[0.000, 0.000, 0.000], [0.500, 0.500, 0.500], [0.000, 0.500, 0.000], [0.000, 0.000, 0.500], [0.500, 0.000, 0.000]]
}

***

8.
{
  "formula": "Ho7Bi2Pt2",
  "functional": "PBE-GGA",
  "state": "optimized geometry",
  "space_group": "No. 65",
  "crystal_system": "orthorhombic",
  "delta_e_f_kj_per_mol_fu": -685.9,
  "lattice_angstrom": [[6.940, -0.003, -0.486], [0.003, 7.046, 0.003], [-0.918, -0.003, 6.896]],
  "species": ["Ho", "Ho", "Ho", "Ho", "Ho", "Ho", "Ho", "Bi", "Bi", "Pt", "Pt"],
  "frac_coords": [[0.000, 0.243, 0.500], [0.500, 0.757, 0.000], [0.000, 0.757, 0.500], [0.500, 0.243, 0.000], [0.000, 0.000, 0.000], [0.500, 0.766, 0.500], [0.500, 0.234, 0.500], [0.802, 0.500, 0.802], [0.198, 0.500, 0.198], [0.721, 0.000, 0.279], [0.279, 0.000, 0.721]]
}

***

9.
{
  "formula": "Al2FeTc",
  "functional": "PBE-GGA",
  "state": "optimized geometry",
  "space_group": "No. 71",
  "crystal_system": "orthorhombic",
  "delta_e_f_kj_per_mol_fu": 197.1,
  "lattice_angstrom": [[-1.143, 5.480, 0.724], [-3.145, -4.199, -2.083], [0.385, -5.333, 1.809]],
  "species": ["Al", "Al", "Tc", "Fe"],
  "frac_coords": [[0.000, 0.242, 0.242], [0.000, 0.758, 0.758], [0.000, 0.500, 0.500], [0.000, 0.000, 0.000]]
}

***

10.
{
  "formula": "Sr2TaTl",
  "functional": "PBE-GGA",
  "state": "optimized geometry",
  "space_group": "No. 166",
  "crystal_system": "trigonal",
  "delta_e_f_kj_per_mol_fu": 237.4,
  "lattice_angstrom": [[11.512, 0.002, 0.001], [10.981, 3.453, 0.001], [10.981, 1.687, 3.013]],
  "species": ["Sr", "Sr", "Ta", "Tl"],
  "frac_coords": [[0.997, 0.997, 0.997], [0.503, 0.503, 0.503], [0.250, 0.250, 0.250], [0.750, 0.750, 0.750]]
}

***

11.
{
  "formula": "SrSiPt2",
  "functional": "PBE-GGA",
  "state": "optimized geometry",
  "space_group": "No. 12",
  "crystal_system": "monoclinic",
  "e_form_raw_ev_per_atom": -0.2375,
  "lattice_angstrom": [[4.558, -0.005, -0.005], [-4.054, 5.877, -0.022], [-0.009, 2.382, 2.858]],
  "species": ["Pt", "Pt", "Si", "Sr"],
  "frac_coords": [[0.000, 0.000, 0.000], [0.000, 0.500, 0.500], [0.500, 0.500, 0.000], [0.500, 0.000, 0.500]]
}

***

12.
{
  "formula": "CaHf2TeO8",
  "functional": "PBE-GGA",
  "state": "optimized geometry",
  "space_group": "No. 65",
  "crystal_system": "orthorhombic",
  "e_form_raw_ev_per_atom": -2.6152,
  "lattice_angstrom": [[4.850, 0.032, -0.003], [0.071, 4.847, -0.005], [0.004, 0.007, 6.600]],
  "species": ["Ca", "Hf", "Hf", "Te", "O", "O", "O", "O", "O", "O", "O", "O"],
  "frac_coords": [[0.000, 0.000, 0.500], [0.500, 0.500, 0.744], [0.500, 0.500, 0.256], [0.000, 0.000, 0.000], [0.196, 0.802, 0.213], [0.711, 0.712, 0.000], [0.804, 0.198, 0.213], [0.804, 0.198, 0.787], [0.289, 0.288, 0.000], [0.196, 0.802, 0.787], [0.678, 0.679, 0.500], [0.322, 0.321, 0.500]]
}

***

13.
{
  "formula": "CdAg2F8",
  "functional": "PBE-GGA",
  "state": "optimized geometry",
  "space_group": "No. 164",
  "crystal_system": "trigonal",
  "e_form_raw_ev_per_atom": -1.1355,
  "lattice_angstrom": [[4.169, 0.000, 0.000], [0.000, 6.975, 0.000], [0.000, -3.488, 6.041]],
  "species": ["Cd", "Ag", "Ag", "F", "F", "F", "F", "F", "F", "F", "F"],
  "frac_coords": [[0.500, 0.000, 0.000], [0.752, 0.667, 0.333], [0.248, 0.333, 0.667], [0.748, 0.333, 0.667], [0.252, 0.667, 0.333], [0.241, 0.160, 0.320], [0.759, 0.840, 0.680], [0.759, 0.320, 0.160], [0.241, 0.680, 0.840], [0.241, 0.160, 0.840], [0.759, 0.840, 0.160]]
}

***

14.
{
  "formula": "ScSn2Ru",
  "functional": "PBE-GGA",
  "state": "optimized geometry",
  "space_group": "No. 122",
  "crystal_system": "tetragonal",
  "delta_e_f_kj_per_mol_fu": -28.6,
  "lattice_angstrom": [[7.762, 0.000, 0.000], [0.000, 7.762, 0.000], [3.881, 3.881, 2.917]],
  "species": ["Sc", "Sc", "Ru", "Ru", "Sn", "Sn", "Sn", "Sn"],
  "frac_coords": [[0.500, 0.500, 0.000], [0.250, 0.750, 0.500], [0.000, 0.000, 0.000], [0.750, 0.250, 0.500], [0.665, 0.125, 0.250], [0.085, 0.625, 0.250], [0.375, 0.335, 0.750], [0.875, 0.915, 0.750]]
}

***

15.
{
  "formula": "CuTeAsN2",
  "functional": "PBE-GGA",
  "state": "optimized geometry",
  "space_group": "No. 123",
  "crystal_system": "tetragonal",
  "e_form_raw_ev_per_atom": 1.5740,
  "lattice_angstrom": [[3.945, 0.000, 0.000], [0.000, 3.945, 0.000], [0.000, 0.000, 5.696]],
  "species": ["As", "Te", "Cu", "N", "N"],
  "frac_coords": [[0.500, 0.500, 0.500], [0.000, 0.000, 0.500], [0.000, 0.000, 0.000], [0.000, 0.500, 0.000], [0.500, 0.000, 0.000]]
}

***

16.
{
  "formula": "Ta2TeSe",
  "functional": "PBE-GGA",
  "state": "optimized geometry",
  "space_group": "No. 166",
  "crystal_system": "trigonal",
  "e_form_raw_ev_per_atom": 0.1036,
  "lattice_angstrom": [[8.513, -0.014, -0.009], [7.889, 3.200, -0.009], [7.889, 1.532, 2.809]],
  "species": ["Se", "Ta", "Ta", "Te"],
  "frac_coords": [[0.750, 0.750, 0.750], [0.005, 0.005, 0.005], [0.495, 0.495, 0.495], [0.250, 0.250, 0.250]]
}

***

17.
{
  "formula": "LiAs2S3",
  "functional": "PBE-GGA",
  "state": "optimized geometry",
  "space_group": "No. 36",
  "crystal_system": "orthorhombic",
  "e_form_raw_ev_per_atom": -0.2952,
  "lattice_angstrom": [[5.320, 0.000, 0.000], [0.000, 8.031, -1.567], [0.000, -5.300, 6.233]],
  "species": ["Li", "Li", "As", "As", "As", "As", "S", "S", "S", "S", "S", "S"],
  "frac_coords": [[0.995, 0.763, 0.763], [0.495, 0.237, 0.237], [0.493, 0.892, 0.577], [0.993, 0.423, 0.108], [0.493, 0.577, 0.892], [0.993, 0.108, 0.423], [0.993, 0.890, 0.557], [0.493, 0.443, 0.110], [0.993, 0.557, 0.890], [0.493, 0.110, 0.443], [0.493, 0.759, 0.759], [0.993, 0.241, 0.241]]
}

***

18.
{
  "formula": "MnCuCSeN",
  "functional": "PBE-GGA",
  "state": "optimized geometry",
  "space_group": "No. 8",
  "crystal_system": "monoclinic",
  "e_form_raw_ev_per_atom": 0.1680,
  "lattice_angstrom": [[6.133, 0.000, 0.160], [0.000, 3.298, 0.000], [-2.804, 0.000, 7.314]],
  "species": ["C", "C", "Mn", "Mn", "Cu", "Cu", "Se", "Se", "N", "N"],
  "frac_coords": [[0.743, 0.000, 0.509], [0.743, 0.500, 0.009], [0.946, 0.000, 0.343], [0.946, 0.500, 0.843], [0.430, 0.000, 0.336], [0.430, 0.500, 0.836], [0.262, 0.000, 0.009], [0.262, 0.500, 0.509], [0.824, 0.000, 0.674], [0.824, 0.500, 0.174]]
}

***

19.
{
  "formula": "RbNdGe2I8",
  "functional": "PBE-GGA",
  "state": "optimized geometry",
  "space_group": "No. 2",
  "crystal_system": "triclinic",
  "e_form_raw_ev_per_atom": -0.8153,
  "lattice_angstrom": [[7.844, 0.364, 0.480], [0.406, 7.399, 0.389], [0.598, 0.531, 10.005]],
  "species": ["Rb", "Nd", "Ge", "Ge", "I", "I", "I", "I", "I", "I", "I", "I"],
  "frac_coords": [[0.000, 0.000, 0.500], [0.000, 0.000, 0.000], [0.464, 0.448, 0.738], [0.536, 0.552, 0.262], [0.169, 0.737, 0.223], [0.676, 0.772, 0.033], [0.834, 0.257, 0.218], [0.831, 0.263, 0.777], [0.324, 0.228, 0.967], [0.166, 0.743, 0.782], [0.627, 0.727, 0.463], [0.373, 0.273, 0.537]]
}

***

20.
{
  "formula": "Cs2K5Cd2Hg",
  "functional": "PBE-GGA",
  "state": "optimized geometry",
  "space_group": "No. 127",
  "crystal_system": "tetragonal",
  "delta_e_f_kj_per_mol_fu": -37.3,
  "lattice_angstrom": [[-0.696, 1.618, -4.557], [-14.130, -5.379, 0.249], [-4.935, 13.215, 5.446]],
  "species": ["Cs", "Cs", "Cs", "Cs", "K", "K", "K", "K", "K", "K", "K", "K", "K", "K", "Cd", "Cd", "Cd", "Cd", "Hg", "Hg"],
  "frac_coords": [[0.000, 0.675, 0.175], [0.000, 0.325, 0.825], [0.000, 0.175, 0.325], [0.000, 0.825, 0.675], [0.500, 0.190, 0.061], [0.500, 0.810, 0.939], [0.500, 0.061, 0.810], [0.500, 0.690, 0.439], [0.500, 0.939, 0.190], [0.500, 0.310, 0.561], [0.500, 0.561, 0.690], [0.500, 0.439, 0.310], [0.500, 0.500, 0.000], [0.500, 0.000, 0.500], [0.000, 0.130, 0.630], [0.000, 0.870, 0.370], [0.000, 0.630, 0.870], [0.000, 0.370, 0.130], [0.000, 0.000, 0.000], [0.000, 0.500, 0.500]]
}